# 1
LuHfTc2 | PBE | optimized geometry

Computed properties:
- Formation energy: -0.201 eV per atom
- E above lowest polymorph: 0 meV per atom
- Total magnetic moment: 0.00 μB per cell
- E_tot: -9.00 eV/atom
- ρ: 12.5 Mg/m³

Cell and atoms, written as extended XYZ:
```
4
Lattice="3.302 0.000 0.000 0.000 3.302 0.000 0.000 0.000 6.689" Properties=species:S:1:pos:R:3 pbc="T T T"
Lu 0.000 0.000 0.000
Hf 0.000 0.000 3.345
Tc 1.651 1.651 1.783
Tc 1.651 1.651 4.906
```

---

# 2
LuHf2Tc | PBE | optimized geometry

Computed properties:
- Formation energy: 0.023 eV per atom
- E above lowest polymorph: 183 meV per atom
- Total magnetic moment: 0.00 μB per cell
- E_tot: -8.67 eV/atom
- ρ: 12.4 Mg/m³

Cell and atoms, written as extended XYZ:
```
4
Lattice="2.344 1.353 4.450 -2.344 1.353 4.450 0.000 -2.706 4.450" Properties=species:S:1:pos:R:3 pbc="T T T"
Lu 0.000 0.000 0.000
Hf 0.000 0.000 3.068
Hf 0.000 0.000 10.282
Tc 0.000 0.000 6.675
```

---

# 3
LuHf2Tc | PBE | optimized geometry

Computed properties:
- Formation energy: -0.160 eV per atom
- E above lowest polymorph: 0 meV per atom
- Total magnetic moment: 0.01 μB per cell
- E_tot: -8.86 eV/atom
- ρ: 12.1 Mg/m³

Cell and atoms, written as extended XYZ:
```
4
Lattice="3.309 0.000 0.000 0.000 3.309 0.000 0.000 0.000 7.910" Properties=species:S:1:pos:R:3 pbc="T T T"
Lu 0.000 0.000 0.000
Hf 1.655 1.655 2.417
Hf 1.655 1.655 5.494
Tc 0.000 0.000 3.955
```

---

# 4
LuHfZnTc | PBE | optimized geometry

Computed properties:
- Formation energy: -0.261 eV per atom
- Total magnetic moment: 0.00 μB per cell
- E_tot: -6.79 eV/atom
- ρ: 11.4 Mg/m³

Cell and atoms, written as extended XYZ:
```
4
Lattice="0.000 3.348 3.348 3.348 0.000 3.348 3.348 3.348 0.000" Properties=species:S:1:pos:R:3 pbc="T T T"
Lu 0.000 0.000 0.000
Hf 3.348 3.348 3.348
Zn 1.674 1.674 1.674
Tc 5.023 5.023 5.023
```

---

# 5
LuHfTe | PBE | optimized geometry

Computed properties:
- E above lowest polymorph: 0 meV per atom
- Formation energy (no corrections): -1.5 eV per formula unit
- Total magnetic moment: 0.00 μB per cell
- E_tot: -6.37 eV/atom
- ρ: 10.8 Mg/m³

Cell and atoms, written as extended XYZ:
```
3
Lattice="-1.850 1.850 5.419 1.850 -1.850 5.419 1.850 1.850 -5.419" Properties=species:S:1:pos:R:3 pbc="T T T"
Lu 0.000 0.000 0.000
Hf 0.000 0.000 3.452
Te 0.000 0.000 7.481
```

---

# 6
Lu2HfTe | PBE | optimized geometry

Computed properties:
- E above lowest polymorph: 547 meV per atom
- Formation energy (no corrections): 0.5 eV per formula unit
- Total magnetic moment: 1.09 μB per cell
- E_tot: -5.40 eV/atom
- ρ: 9.4 Mg/m³

Cell and atoms, written as extended XYZ:
```
4
Lattice="1.796 1.037 10.367 -1.796 1.037 10.367 0.000 -2.074 10.367" Properties=species:S:1:pos:R:3 pbc="T T T"
Lu 0.000 0.000 3.042
Lu 0.000 0.000 28.058
Hf 0.000 0.000 0.000
Te 0.000 0.000 15.550
```

---

# 7
Lu2HfTe | PBE | optimized geometry

Computed properties:
- E above lowest polymorph: 0 meV per atom
- Formation energy (no corrections): -1.7 eV per formula unit
- Total magnetic moment: 0.01 μB per cell
- E_tot: -5.95 eV/atom
- ρ: 10.7 Mg/m³

Cell and atoms, written as extended XYZ:
```
4
Lattice="3.750 0.000 0.000 0.000 3.750 0.000 0.000 0.000 7.260" Properties=species:S:1:pos:R:3 pbc="T T T"
Lu 0.000 0.000 1.766
Lu 0.000 0.000 5.494
Hf 1.875 1.875 3.630
Te 1.875 1.875 0.000
```

---

# 8
LuHfTe | PBE | optimized geometry

Computed properties:
- E above lowest polymorph: 299 meV per atom
- Formation energy (no corrections): -0.6 eV per formula unit
- Total magnetic moment: 0.00 μB per cell
- E_tot: -6.08 eV/atom
- ρ: 10.3 Mg/m³

Cell and atoms, written as extended XYZ:
```
3
Lattice="4.933 0.000 0.000 -2.466 4.272 0.000 0.000 0.000 3.687" Properties=species:S:1:pos:R:3 pbc="T T T"
Lu 0.000 0.000 0.000
Hf 2.466 1.424 1.844
Te 0.000 2.848 1.844
```